# ScInAgPb

A geometry-optimized ScInAgPb structure (PBE-GGA, Alexandria via LeMat-Bulk).

The structure in CIF format:
```
data_ScInAgPb
_cell_length_a 7.185
_cell_length_b 7.185
_cell_length_c 7.185
_cell_angle_alpha 90.00
_cell_angle_beta 90.00
_cell_angle_gamma 90.00
_space_group_name_H-M_alt 'F -4 3 m'
_space_group_IT_number 216
_space_group_name_Hall 'F -4 2 3'
loop_
_atom_site_label
_atom_site_fract_x
_atom_site_fract_y
_atom_site_fract_z
Sc1 0.000 0.000 0.000
In1 0.250 0.250 0.250
Ag1 0.000 0.000 0.500
Pb1 0.250 0.250 0.750
```

Values from the calculation:
ΔE_f   -77 meV per atom
ΔE to the lowest computed polymorph   158 meV/atom